No. 1
18
Lattice="5.642 0.000 0.000 0.000 8.892 0.000 0.000 0.000 8.892" Properties=species:S:1:pos:R:3 comment="YEr4Al4 GGA-PBE optimized geometry" final_energy_ev_per_atom=-4.563 ef_ev_per_atom=-0.153 sg=P4_2/n pbc="T T T"
Y 0.000 0.000 0.000
Y 2.821 4.446 4.446
Er 2.240 3.773 7.460
Er 5.061 5.878 8.219
Er 2.240 5.120 1.432
Er 0.581 0.673 5.878
Er 3.402 7.460 5.120
Er 0.581 8.219 3.014
Er 5.061 3.014 0.673
Er 3.402 1.432 3.773
Al 3.320 8.046 1.731
Al 3.320 0.846 7.161
Al 0.499 6.177 5.292
Al 5.143 3.600 6.177
Al 5.143 5.292 2.715
Al 2.322 1.731 0.846
Al 2.322 7.161 8.046
Al 0.499 2.715 3.600


No. 2
4
Lattice="-2.806 -2.078 0.703 0.190 -2.429 2.598 -4.351 5.492 7.893" Properties=species:S:1:pos:R:3 comment="YEr2Al GGA-PBE optimized geometry" final_energy_ev_per_atom=-4.913 ef_ev_per_atom=-0.080 sg=R3m pbc="T T T"
Y -3.480 0.484 5.590
Er -3.595 3.971 6.416
Er -1.629 0.020 2.579
Al -1.747 -2.998 2.207


Calculated volume list, top to bottom, in Å³ per cell: 446 114